First-principles (PBE-GGA) data for crystalline K2PuBr6 at its relaxed geometry, as listed in OQMD via LeMat-Bulk.

Unit cell a=7.3411 b=7.3411 c=14.1579 alpha=90.00 beta=90.00 gamma=90.00
With the nearest neighbours (Å) after each atom.
Fractional coordinates of all 18 atoms:
K (0.0000, 0.0000, 0.1664)  6 Br 3.30-3.38
K (0.0000, 0.0000, 0.8336)  6 Br 3.30-3.38
K (0.5000, 0.5000, 0.3336)  6 Br 3.30-3.38
K (0.5000, 0.5000, 0.6664)  6 Br 3.30-3.38
Pu (0.0000, 0.0000, 0.5000)  6 Br 2.77
Pu (0.5000, 0.5000, 0.0000)  6 Br 2.77
Br (0.1842, 0.1842, 0.3585)  1 Pu 2.77
Br (0.1842, 0.1842, 0.6415)  1 Pu 2.77
Br (0.2336, 0.2336, 0.0000)  1 Pu 2.77
Br (0.2663, 0.7336, 0.5000)  1 Pu 2.77
Br (0.3158, 0.6842, 0.1415)  1 Pu 2.77
Br (0.3158, 0.6842, 0.8585)  1 Pu 2.77
Br (0.6842, 0.3158, 0.1415)  1 Pu 2.77
Br (0.6842, 0.3158, 0.8585)  1 Pu 2.77
Br (0.7336, 0.2663, 0.5000)  1 Pu 2.77
Br (0.7664, 0.7664, 0.0000)  1 Pu 2.77
Br (0.8158, 0.8158, 0.3585)  1 Pu 2.77
Br (0.8158, 0.8158, 0.6415)  1 Pu 2.77

Computed properties:
Space group: No. 136
Calculated total energy, eV/cell: -80.39

=====

First-principles (PBE-GGA) data for crystalline KRb2TaBr6 at its relaxed geometry, as listed in OQMD via LeMat-Bulk.

Unit cell a=8.1076 b=8.1076 c=8.1076 alpha=60.00 beta=60.00 gamma=60.00
With the nearest neighbours (Å) after each atom.
Fractional coordinates of all 10 atoms:
K (0.0000, 0.0000, 0.0000)  6 Br 3.11
Rb (0.2500, 0.2500, 0.2500)  12 Br 4.06
Rb (0.7500, 0.7500, 0.7500)  12 Br 4.06
Ta (0.5000, 0.5000, 0.5000)  6 Br 2.63
Br (0.2711, 0.2711, 0.7289)  1 Ta 2.63
Br (0.2711, 0.7289, 0.2711)  1 Ta 2.63
Br (0.2711, 0.7289, 0.7289)  1 Ta 2.63
Br (0.7289, 0.2711, 0.2711)  1 Ta 2.63
Br (0.7289, 0.2711, 0.7289)  1 Ta 2.63
Br (0.7289, 0.7289, 0.2711)  1 Ta 2.63

Computed properties:
Space group: No. 225
Calculated total energy, eV/cell: -37.59

=====

First-principles (PBE-GGA) data for crystalline KRb2ZnBr6 at its relaxed geometry, as listed in OQMD via LeMat-Bulk.

Unit cell a=8.1468 b=8.1468 c=8.1468 alpha=123.18 beta=123.18 gamma=84.57
With the nearest neighbours (Å) after each atom.
Fractional coordinates of all 10 atoms:
K (0.0000, 0.0000, 0.0000)  6 Br 3.25-3.27
Rb (0.2500, 0.7500, 0.5000)  8 Br 3.51-3.88
Rb (0.7500, 0.2500, 0.5000)  8 Br 3.51-3.88
Zn (0.5000, 0.5000, 0.0000)  6 Br 2.57-2.76
Br (0.1935, 0.6281, 0.8216)  1 Zn 2.57
Br (0.2711, 0.2711, 0.0000)  1 Zn 2.76
Br (0.3719, 0.1935, 0.5654)  1 Zn 2.57
Br (0.6281, 0.8065, 0.4346)  1 Zn 2.57
Br (0.7289, 0.7289, 0.0000)  1 Zn 2.76
Br (0.8065, 0.3719, 0.1784)  1 Zn 2.57

Computed properties:
Space group: No. 87
Calculated total energy, eV/cell: -26.30

=====

> Look up the calculated total energy of the second one.

-37.59 eV/cell

=====

> What is the formula in the second record?

KRb2TaBr6

=====

> Which of these has the lowest calculated total energy?

K2PuBr6

=====

> Among the records above, which one has the highest calculated total energy?

KRb2ZnBr6